Entry 1:
A relaxed structure of Pr6Nd2Sc3, computed with PBE.

Calculated values
Its crystal system is monoclinic. For the energy relative to the elements, the calculation gives 0.052 eV/atom. The total magnetic moment is 0.0000 μB per atom. For the density of states at the Fermi level, the calculation gives 15.49 states/eV/f.u. The symmetry is C2/m. The total energy comes out at -5.149 eV per atom.

Unit cell a=6.233 b=5.068 c=30.689 alpha=48.68 beta=32.13 gamma=66.03
Fractional coordinates of all 11 atoms:
Pr  0.823  0.827  0.815
Pr  0.908  0.905  0.910
Pr  0.177  0.173  0.185
Pr  0.092  0.095  0.090
Pr  0.680  0.647  0.628
Pr  0.320  0.353  0.372
Nd  0.238  0.261  0.280
Nd  0.762  0.739  0.720
Sc  0.000  0.000  0.000
Sc  0.443  0.449  0.457
Sc  0.557  0.551  0.543

***

Entry 2:
A relaxed structure of AgSnPbCl5, computed with PBE.

Calculated values
Its crystal system is monoclinic. The total magnetic moment is 0.0000 μB per atom. For the density of states at the Fermi level, the calculation gives 0.00 states/eV/f.u. The energy relative to the elements, uncorrected comes out at -0.857 eV per atom. The symmetry is C2/c. The total energy comes out at -3.332 eV per atom.

Unit cell a=7.749 b=7.749 c=10.094 alpha=105.31 beta=105.31 gamma=107.39
Fractional coordinates of all 16 atoms:
Ag  0.685  0.315  0.250
Ag  0.315  0.685  0.750
Sn  0.365  0.635  0.250
Sn  0.635  0.365  0.750
Pb  0.000  0.000  0.500
Pb  0.000  0.000  0.000
Cl  0.118  0.882  0.250
Cl  0.882  0.118  0.750
Cl  0.986  0.351  0.183
Cl  0.014  0.649  0.817
Cl  0.649  0.014  0.317
Cl  0.351  0.986  0.683
Cl  0.684  0.623  0.440
Cl  0.316  0.377  0.560
Cl  0.377  0.316  0.060
Cl  0.623  0.684  0.940

***

Entry 3:
A relaxed structure of Rb2ZnSi2, computed with PBE.

Calculated values
Its crystal system is tetragonal. The total magnetic moment is 0.0000 μB per atom. For the density of states at the Fermi level, the calculation gives 0.00 states/eV/f.u. The energy relative to the elements, uncorrected comes out at 0.347 eV per atom. The symmetry is P4/mbm. The total energy comes out at -2.464 eV per atom.

Unit cell a=8.835 b=8.835 c=5.032 alpha=90.00 beta=90.00 gamma=90.00
Fractional coordinates of all 10 atoms:
Zn  0.000  0.000  0.000
Zn  0.500  0.500  0.000
Si  0.414  0.914  0.000
Si  0.914  0.586  0.000
Si  0.586  0.086  0.000
Si  0.086  0.414  0.000
Rb  0.200  0.700  0.500
Rb  0.700  0.800  0.500
Rb  0.800  0.300  0.500
Rb  0.300  0.200  0.500